VASP calculation (PBE-GGA) on a relaxed Ti2MoW crystal.

```
Ti2MoW
1.0
-3.5289 3.5289 2.7193
3.5289 -3.5289 2.7193
3.5289 3.5289 -2.7193
Ti Mo W
4 2 2
direct
0.1208 0.6250 0.9958
0.3750 0.3708 0.4958
0.6292 0.1250 0.0042
0.8750 0.8792 0.5042
0.0000 0.0000 0.0000
0.7500 0.2500 0.5000
0.2500 0.7500 0.5000
0.5000 0.5000 0.0000
```

Symmetry: I-42d (122)
ΔH_f (0 K), eV per atom: 0.583